{
  "formula": "Er6Sn3Ir",
  "functional": "PBE-GGA",
  "state": "relaxed",
  "lattice_angstrom": [[6.1116, 0.0000, 0.0000], [0.0000, 8.5979, 0.0000], [-5.7130, 0.0000, 10.6052]],
  "species": ["Er", "Er", "Er", "Er", "Er", "Er", "Er", "Er", "Er", "Er", "Er", "Er", "Sn", "Sn", "Sn", "Sn", "Sn", "Sn", "Ir", "Ir"],
  "fractional_positions": [[0.0635, 0.1587, 0.4422], [0.0635, 0.3413, 0.9422], [0.3363, 0.6972, 0.4373], [0.3363, 0.8028, 0.9373], [0.4029, 0.0506, 0.2647], [0.4029, 0.4494, 0.7647], [0.5971, 0.5506, 0.2353], [0.5971, 0.9494, 0.7353], [0.6637, 0.1972, 0.0627], [0.6637, 0.3028, 0.5627], [0.9365, 0.6587, 0.0578], [0.9365, 0.8413, 0.5578], [0.0000, 0.0000, 0.0000], [0.0000, 0.5000, 0.5000], [0.1628, 0.1121, 0.7637], [0.1628, 0.3879, 0.2637], [0.8372, 0.6121, 0.7363], [0.8372, 0.8879, 0.2363], [0.5000, 0.0000, 0.5000], [0.5000, 0.5000, 0.0000]],
  "delta_e_f_mev_per_atom": -584,
  "spacegroup": "P2_1/c"
}